A geometry-optimized Li3Ac2CdBi4 structure. Source: Alexandria via LeMat-Bulk, functional GGA-PBE.

Cell: 5.086 5.086 11.013 Å, 90.00 90.00 90.00°
Space group P-4m2 (No. 115)
One atom of each set of equivalent atoms:
Li: 0.000 0.000 0.000 (multiplicity 1)
Li: 0.000 0.500 0.609 (multiplicity 2)
Ac: 0.000 0.500 0.266 (multiplicity 2)
Cd: 0.500 0.500 0.000 (multiplicity 1)
Bi: 0.000 0.000 0.500 (multiplicity 1)
Bi: 0.000 0.500 0.855 (multiplicity 2)
Bi: 0.500 0.500 0.500 (multiplicity 1)

Computed properties:
- ΔH_f (0 K): -0.555 eV per atom